DFT (PBE) results for a geometry-optimized BaNaCo2P structure.

Calculated values
Formation energy in eV/atom: 1.3894
ρ in g/cm3: 3.823
Magnetic moment in μB per cell: 4.0

a b c (Å): 4.7703 4.7703 5.9009
angles (deg): 90.00 90.00 90.00
Space group P4/mmm (No. 123)
Symmetry-distinct sites (fractional):
Ba: 0.0000 0.0000 0.0000 x1
Na: 0.0000 0.0000 0.5000 x1
Co: 0.0000 0.5000 0.5000 x2
P: 0.5000 0.5000 0.0000 x1